i) First-principles (PBE+U) data for a relaxed structure of Li2VO2F, as listed in the Alexandria database.

Space group ... Cm

Cell: 7.9060 7.9060 10.3892 Å, 72.36 72.36 22.02°
Fractional positions:
Li 0.4219 0.4219 0.1321
O 0.8213 0.8213 0.7629
O 0.6869 0.6869 0.4969
Li 0.9414 0.9414 0.3744
Li 0.4455 0.4455 0.5907
F 0.5067 0.5067 0.2401
Li 0.0839 0.0839 0.1406
O 0.1827 0.1827 0.2406
V 0.2550 0.2550 0.8809
Li 0.5762 0.5762 0.3999
O 0.3318 0.3318 0.0049
V 0.2566 0.2566 0.3720
O 0.0085 0.0085 0.4994
Li 0.9269 0.9269 0.8690
O 0.3359 0.3359 0.5008
V 0.7696 0.7696 0.6089
Li 0.5709 0.5709 0.9033
F 0.1784 0.1784 0.7385
V 0.7553 0.7553 0.1255
Li 0.0778 0.0778 0.6179
O 0.6763 0.6763 0.9935
F 0.5086 0.5086 0.7649
O 0.8325 0.8325 0.2533
F 0.0041 0.0041 0.0036

=====

ii) First-principles (PBE+U) data for a relaxed structure of Li2VO2F, as listed in the Alexandria database.

Space group ... P1

Cell: 6.0120 6.0159 7.9196 Å, 67.93 79.30 60.10°
Fractional positions:
Li 0.1976 0.5809 0.1444
O 0.3375 0.6556 0.3526
O 0.1702 0.3397 0.6442
F 0.0004 0.4997 0.9998
O 0.3320 0.1594 0.3415
F 0.9989 0.0015 0.9993
Li 0.6490 0.5857 0.1443
Li 0.3341 0.4205 0.8638
O 0.5005 0.5023 0.9972
F 0.5016 0.0016 0.9969
O 0.1667 0.8473 0.6460
O 0.8317 0.1595 0.3536
O 0.6618 0.8490 0.6459
Li 0.8142 0.4175 0.8664
F 0.6690 0.3301 0.6644
Li 0.8389 0.8935 0.8594
Li 0.1720 0.0890 0.1512
O 0.8292 0.6527 0.3556
Li 0.6487 0.1249 0.1421
V 0.4965 0.7596 0.4941
V 0.9993 0.7493 0.5003
V 0.0072 0.2504 0.4923
Li 0.3473 0.8804 0.8523
V 0.4957 0.2500 0.4923

=====

In meV per atom, relative to the most stable structure: i) 9; ii) 0.